# Pm3Pd2Au2

A geometry-optimized Pm3Pd2Au2 structure (PBE, Alexandria).

The space group is P-1 (No. 2) and the conventional cell measures 4.2588, 5.5728 and 7.6008 Å, with angles of 86.65, 89.97 and 67.64 degrees. The asymmetric unit holds Pm at (0.0000, 0.0000, 0.0000), Pm at (0.3571, 0.2867, 0.3495), Pd at (0.0786, 0.8415, 0.3659) and Au at (0.3024, 0.3954, 0.8742).

The density comes out at 10.4 g cm⁻³. The spin magnetization comes out at 0.0 μB/f.u. Its total energy is -5.1913 eV/atom. Its energy relative to the elements is -0.735 eV/atom.